No. 1
Material: Ag15Hg
Method: DFT, PBE
State: optimized geometry

## Properties
Energy relative to the elements ... 0.98 eV per formula unit
Calculated total energy ... -0.0957 Ha/atom
Space group ... P2_1/m (11)
Energy above the most stable polymorph in this dataset ... 23 meV per atom

Unit cell a=5.845 b=4.061 c=33.359 alpha=90.00 beta=90.01 gamma=90.00
Atoms (fractional coordinates):
Ag (0.125, 0.250, 0.654)
Ag (0.375, 0.750, 0.699)
Ag (0.125, 0.250, 0.390)
Ag (0.875, 0.750, 0.257)
Ag (0.623, 0.250, 0.211)
Ag (0.375, 0.750, 0.345)
Ag (0.374, 0.750, 0.257)
Ag (0.375, 0.750, 0.610)
Ag (0.125, 0.250, 0.743)
Ag (0.876, 0.750, 0.699)
Ag (0.875, 0.750, 0.610)
Hg (0.126, 0.250, 0.838)
Ag (0.375, 0.750, 0.522)
Ag (0.125, 0.250, 0.566)
Ag (0.124, 0.250, 0.301)
Ag (0.875, 0.750, 0.346)
Ag (0.625, 0.250, 0.655)
Ag (0.625, 0.250, 0.390)
Ag (0.626, 0.250, 0.832)
Ag (0.875, 0.750, 0.434)
Ag (0.625, 0.250, 0.301)
Ag (0.377, 0.750, 0.789)
Hg (0.874, 0.750, 0.162)
Ag (0.125, 0.250, 0.478)
Ag (0.625, 0.250, 0.478)
Ag (0.875, 0.750, 0.522)
Ag (0.626, 0.250, 0.743)
Ag (0.625, 0.250, 0.566)
Ag (0.375, 0.750, 0.434)
Ag (0.874, 0.750, 0.789)
Ag (0.374, 0.750, 0.168)
Ag (0.126, 0.250, 0.211)



No. 2
Material: HfGa2Tc
Method: DFT, PBE
State: optimized geometry

## Properties
Total magnetization ... 0.034 μB/cell
Calculated total energy ... -0.2454 Ha/atom
Space group ... F-43m (216)

Unit cell a=4.533 b=4.533 c=4.533 alpha=60.00 beta=60.00 gamma=60.00
Atoms (fractional coordinates):
Ga (0.750, 0.750, 0.750)
Hf (0.250, 0.250, 0.250)
Tc (0.000, 0.000, 0.000)
Ga (0.500, 0.500, 0.500)



No. 3
Material: ScTlAgTe3
Method: DFT, PBE
State: optimized geometry

## Properties
Total magnetization ... 0.010 μB/cell
Calculated total energy ... -0.1508 Ha/atom
Space group ... P2_1/m (11)
Energy above the most stable polymorph in this dataset ... 0 meV per atom

Unit cell a=8.768 b=4.104 c=10.741 alpha=90.00 beta=110.64 gamma=90.00
Atoms (fractional coordinates):
Te (0.060, 0.750, 0.864)
Tl (0.739, 0.750, 0.284)
Sc (0.813, 0.250, 0.844)
Sc (0.187, 0.750, 0.156)
Te (0.229, 0.750, 0.440)
Te (0.940, 0.250, 0.136)
Te (0.589, 0.750, 0.870)
Ag (0.429, 0.250, 0.395)
Tl (0.261, 0.250, 0.716)
Te (0.411, 0.250, 0.130)
Ag (0.571, 0.750, 0.605)
Te (0.771, 0.250, 0.560)



No. 4
Material: TbSmSi2Br2
Method: DFT, PBE
State: optimized geometry

## Properties
Total magnetization ... 0.004 μB/cell
Calculated total energy ... -0.1895 Ha/atom
Space group ... P3m1 (156)

Unit cell a=4.074 b=4.074 c=11.134 alpha=90.00 beta=90.00 gamma=120.00
Atoms (fractional coordinates):
Si (0.667, 0.333, 0.995)
Si (0.333, 0.667, 0.011)
Br (0.667, 0.333, 0.337)
Br (0.333, 0.667, 0.658)
Tb (0.000, 0.000, 0.174)
Sm (0.000, 0.000, 0.826)



No. 5
Material: Sc2Zn2Cd2AgHg
Method: DFT, PBE
State: optimized geometry

## Properties
Energy relative to the elements ... -1.74 eV per formula unit
Total magnetization ... 0.004 μB/cell
Calculated total energy ... -0.1003 Ha/atom
Space group ... P-4m2 (115)

Unit cell a=4.778 b=4.778 c=6.698 alpha=90.00 beta=90.00 gamma=90.00
Atoms (fractional coordinates):
Cd (0.500, 0.500, 0.000)
Zn (0.000, 0.500, 0.759)
Ag (0.000, 0.000, 0.000)
Cd (0.000, 0.000, 0.500)
Hg (0.500, 0.500, 0.500)
Sc (0.000, 0.500, 0.247)
Zn (0.500, 0.000, 0.241)
Sc (0.500, 0.000, 0.753)



No. 6
Material: Co5Ni24
Method: DFT, PBE
State: optimized geometry

## Properties
Energy relative to the elements ... 2.92 eV per formula unit
Total magnetization ... 22.932 μB/cell
Calculated total energy ... -0.2107 Ha/atom
Space group ... I-43m (217)

Unit cell a=7.429 b=7.429 c=7.429 alpha=109.47 beta=109.47 gamma=109.47
Atoms (fractional coordinates):
Ni (0.314, 0.724, 0.314)
Ni (0.410, 0.686, 0.000)
Ni (0.624, 0.814, 0.624)
Ni (0.590, 0.590, 0.276)
Ni (0.000, 0.686, 0.410)
Ni (0.724, 0.314, 0.314)
Ni (0.186, 0.810, 0.810)
Co (0.350, 0.350, 0.350)
Ni (0.376, 0.190, 0.000)
Ni (0.190, 0.000, 0.376)
Co (0.000, 0.650, 0.000)
Ni (0.810, 0.810, 0.186)
Ni (0.410, 0.000, 0.686)
Ni (0.190, 0.376, 0.000)
Ni (0.590, 0.276, 0.590)
Ni (0.814, 0.624, 0.624)
Ni (0.624, 0.624, 0.814)
Ni (0.000, 0.410, 0.686)
Co (0.000, 0.000, 0.650)
Ni (0.686, 0.000, 0.410)
Ni (0.314, 0.314, 0.724)
Ni (0.810, 0.186, 0.810)
Co (0.000, 0.000, 0.000)
Ni (0.000, 0.376, 0.190)
Ni (0.376, 0.000, 0.190)
Co (0.650, 0.000, 0.000)
Ni (0.686, 0.410, 0.000)
Ni (0.276, 0.590, 0.590)
Ni (0.000, 0.190, 0.376)



No. 7
Material: PrNdTe2As2
Method: DFT, PBE
State: optimized geometry

## Properties
Total magnetization ... 0.003 μB/cell
Calculated total energy ... -0.1969 Ha/atom
Space group ... P4mm (99)

Unit cell a=4.186 b=4.186 c=9.385 alpha=90.00 beta=90.00 gamma=90.00
Atoms (fractional coordinates):
As (0.500, 0.000, 0.001)
Te (0.500, 0.500, 0.375)
Pr (0.500, 0.500, 0.746)
As (0.000, 0.500, 0.001)
Te (0.000, 0.000, 0.622)
Nd (0.000, 0.000, 0.255)



No. 8
Material: SmSiTe
Method: DFT, PBE
State: optimized geometry

## Properties
Total magnetization ... 0.269 μB/cell
Calculated total energy ... -0.1678 Ha/atom
Space group ... F-43m (216)

Unit cell a=5.075 b=5.075 c=5.075 alpha=60.00 beta=60.00 gamma=60.00
Atoms (fractional coordinates):
Sm (0.000, 0.000, 0.000)
Si (0.250, 0.250, 0.250)
Te (0.750, 0.750, 0.750)



No. 9
Material: CdAgSn
Method: DFT, PBE
State: optimized geometry

## Properties
Calculated total energy ... -0.0932 Ha/atom
Space group ... Pnma (62)

Unit cell a=7.091 b=4.275 c=8.868 alpha=90.00 beta=90.00 gamma=90.00
Atoms (fractional coordinates):
Ag (0.625, 0.250, 0.750)
Cd (0.888, 0.750, 0.915)
Cd (0.388, 0.750, 0.585)
Sn (0.138, 0.250, 0.417)
Sn (0.362, 0.750, 0.917)
Ag (0.875, 0.750, 0.250)
Ag (0.375, 0.750, 0.250)
Ag (0.125, 0.250, 0.750)
Sn (0.862, 0.750, 0.583)
Cd (0.612, 0.250, 0.415)
Sn (0.638, 0.250, 0.083)
Cd (0.112, 0.250, 0.085)



No. 10
Material: CsPrMgTe3
Method: DFT, PBE
State: optimized geometry

## Properties
Total magnetization ... 0.000 μB/cell
Calculated total energy ... -0.1477 Ha/atom
Space group ... Pnma (62)

Unit cell a=12.270 b=4.649 c=17.212 alpha=90.00 beta=90.00 gamma=90.00
Atoms (fractional coordinates):
Cs (0.743, 0.750, 0.996)
Cs (0.757, 0.250, 0.496)
Te (0.447, 0.750, 0.872)
Te (0.065, 0.750, 0.874)
Te (0.935, 0.250, 0.126)
Mg (0.255, 0.750, 0.786)
Cs (0.257, 0.250, 0.004)
Te (0.553, 0.250, 0.128)
Mg (0.745, 0.250, 0.214)
Te (0.435, 0.250, 0.374)
Te (0.565, 0.750, 0.626)
Pr (0.006, 0.250, 0.751)
Te (0.255, 0.250, 0.688)
Pr (0.994, 0.750, 0.249)
Pr (0.494, 0.750, 0.251)
Te (0.745, 0.750, 0.312)
Mg (0.755, 0.750, 0.714)
Te (0.755, 0.250, 0.812)
Te (0.947, 0.750, 0.628)
Pr (0.506, 0.250, 0.749)
Mg (0.245, 0.250, 0.286)
Cs (0.243, 0.750, 0.504)
Te (0.245, 0.750, 0.188)
Te (0.053, 0.250, 0.372)



No. 11
Material: NpGeOs
Method: DFT, PBE
State: optimized geometry

## Properties
Total magnetization ... 2.818 μB/cell
Calculated total energy ... -0.3227 Ha/atom
Space group ... F-43m (216)

Unit cell a=4.532 b=4.532 c=4.532 alpha=60.00 beta=60.00 gamma=60.00
Atoms (fractional coordinates):
Ge (0.250, 0.250, 0.250)
Np (0.000, 0.000, 0.000)
Os (0.750, 0.750, 0.750)



No. 12
Material: LiAg2Sb2
Method: DFT, PBE
State: optimized geometry

## Properties
Calculated total energy ... -0.1183 Ha/atom
Space group ... I4/mmm (139)

Unit cell a=6.947 b=6.947 c=6.947 alpha=142.01 beta=142.01 gamma=54.81
Atoms (fractional coordinates):
Ag (0.250, 0.750, 0.500)
Sb (0.613, 0.613, 0.000)
Sb (0.387, 0.387, 0.000)
Ag (0.750, 0.250, 0.500)
Li (0.000, 0.000, 0.000)



No. 13
Material: MgBeCoSi
Method: DFT, PBE
State: optimized geometry

## Properties
Total magnetization ... 0.000 μB/cell
Calculated total energy ... -0.1647 Ha/atom
Space group ... F-43m (216)
Energy above the most stable polymorph in this dataset ... 0 meV per atom

Unit cell a=4.041 b=4.041 c=4.041 alpha=60.00 beta=60.00 gamma=60.00
Atoms (fractional coordinates):
Mg (0.500, 0.500, 0.500)
Be (0.750, 0.750, 0.750)
Co (0.000, 0.000, 0.000)
Si (0.250, 0.250, 0.250)



No. 14
Material: Sr3Cd16
Method: DFT, PBE
State: optimized geometry

## Properties
Calculated total energy ... -0.0443 Ha/atom
Space group ... P4/nnc (126)

Unit cell a=9.179 b=9.179 c=11.597 alpha=90.00 beta=90.00 gamma=90.00
Atoms (fractional coordinates):
Cd (0.361, 0.157, 0.312)
Cd (0.651, 0.144, 0.438)
Cd (0.139, 0.657, 0.812)
Cd (0.356, 0.849, 0.938)
Cd (0.861, 0.343, 0.812)
Cd (0.639, 0.157, 0.688)
Cd (0.644, 0.151, 0.938)
Cd (0.343, 0.861, 0.188)
Cd (0.349, 0.856, 0.438)
Cd (0.644, 0.849, 0.062)
Cd (0.843, 0.639, 0.688)
Cd (0.151, 0.356, 0.938)
Cd (0.356, 0.151, 0.062)
Cd (0.849, 0.644, 0.938)
Cd (0.639, 0.843, 0.312)
Cd (0.361, 0.843, 0.688)
Cd (0.657, 0.861, 0.812)
Cd (0.157, 0.639, 0.312)
Sr (0.000, 0.000, 0.000)
Cd (0.144, 0.349, 0.438)
Cd (0.843, 0.361, 0.312)
Cd (0.861, 0.657, 0.188)
Cd (0.657, 0.139, 0.188)
Cd (0.144, 0.651, 0.562)
Cd (0.856, 0.349, 0.562)
Sr (0.000, 0.000, 0.335)
Sr (0.500, 0.500, 0.835)
Cd (0.856, 0.651, 0.438)
Cd (0.651, 0.856, 0.562)
Sr (0.000, 0.000, 0.665)
Sr (0.500, 0.500, 0.165)
Sr (0.500, 0.500, 0.500)
Cd (0.151, 0.644, 0.062)
Cd (0.157, 0.361, 0.688)
Cd (0.139, 0.343, 0.188)
Cd (0.343, 0.139, 0.812)
Cd (0.849, 0.356, 0.062)
Cd (0.349, 0.144, 0.562)



No. 15
Material: CsSmIr
Method: DFT, PBE
State: optimized geometry

## Properties
Total magnetization ... 0.031 μB/cell
Calculated total energy ... -0.1608 Ha/atom
Space group ... F-43m (216)
Energy above the most stable polymorph in this dataset ... 0 meV per atom

Unit cell a=5.094 b=5.094 c=5.094 alpha=60.00 beta=60.00 gamma=60.00
Atoms (fractional coordinates):
Sm (0.500, 0.500, 0.500)
Ir (0.250, 0.250, 0.250)
Cs (0.000, 0.000, 0.000)



No. 16
Material: Ho2Si4NiIr
Method: DFT, PBE
State: optimized geometry

## Properties
Total magnetization ... 0.000 μB/cell
Calculated total energy ... -0.2399 Ha/atom
Space group ... Amm2 (38)

Unit cell a=4.073 b=8.534 c=8.534 alpha=27.30 beta=90.00 gamma=90.00
Atoms (fractional coordinates):
Si (0.000, 0.040, 0.040)
Si (0.000, 0.746, 0.746)
Ho (0.500, 0.608, 0.608)
Si (0.500, 0.244, 0.244)
Ni (0.000, 0.175, 0.175)
Ir (0.500, 0.823, 0.823)
Si (0.500, 0.965, 0.965)
Ho (0.000, 0.399, 0.399)



No. 17
Material: DyZr2In
Method: DFT, PBE
State: optimized geometry

## Properties
Total magnetization ... 0.033 μB/cell
Calculated total energy ... -0.2314 Ha/atom
Space group ... P4/mmm (123)

Unit cell a=4.575 b=4.575 c=4.563 alpha=90.00 beta=90.00 gamma=90.00
Atoms (fractional coordinates):
In (0.000, 0.000, 0.000)
Dy (0.500, 0.500, 0.000)
Zr (0.000, 0.500, 0.500)
Zr (0.500, 0.000, 0.500)



No. 18
Material: HoTmInC
Method: DFT, PBE
State: optimized geometry

## Properties
Total magnetization ... 0.076 μB/cell
Calculated total energy ... -0.2086 Ha/atom
Space group ... P6_3mc (186)

Unit cell a=3.564 b=3.564 c=16.170 alpha=90.00 beta=90.00 gamma=120.00
Atoms (fractional coordinates):
Tm (0.333, 0.667, 0.583)
C (0.000, 0.000, 0.001)
In (0.667, 0.333, 0.749)
Tm (0.667, 0.333, 0.083)
Ho (0.667, 0.333, 0.418)
Ho (0.333, 0.667, 0.918)
C (0.000, 0.000, 0.501)
In (0.333, 0.667, 0.249)



No. 19
Material: ScTlCd
Method: DFT, PBE
State: optimized geometry

## Properties
Total magnetization ... 0.006 μB/cell
Calculated total energy ... -0.1135 Ha/atom
Space group ... F-43m (216)

Unit cell a=4.842 b=4.842 c=4.842 alpha=60.00 beta=60.00 gamma=60.00
Atoms (fractional coordinates):
Sc (0.000, 0.000, 0.000)
Cd (0.250, 0.250, 0.250)
Tl (0.750, 0.750, 0.750)



No. 20
Material: Tb2LuIn3CuAg2
Method: DFT, PBE
State: optimized geometry

## Properties
Total magnetization ... 0.002 μB/cell
Calculated total energy ... -0.1436 Ha/atom
Space group ... Amm2 (38)

Unit cell a=3.870 b=7.745 c=7.745 alpha=119.82 beta=90.00 gamma=90.00
Atoms (fractional coordinates):
Ag (0.500, 0.334, 0.666)
Tb (0.000, 0.000, 0.598)
In (0.500, 0.001, 0.251)
In (0.500, 0.749, 0.749)
Lu (0.000, 0.402, 0.402)
Cu (0.000, 0.001, 0.001)
Ag (0.500, 0.666, 0.334)
In (0.500, 0.251, 0.001)
Tb (0.000, 0.598, 0.000)



No. 21
Material: Zr3U
Method: DFT, PBE
State: optimized geometry

## Properties
Energy relative to the elements ... 1.18 eV per formula unit
Total magnetization ... 5.639 μB/cell
Calculated total energy ... -0.3285 Ha/atom
Space group ... P6_3/mmc (194)
Energy above the most stable polymorph in this dataset ... 146 meV per atom

Unit cell a=6.357 b=6.357 c=5.374 alpha=90.00 beta=90.00 gamma=119.99
Atoms (fractional coordinates):
Zr (0.831, 0.169, 0.500)
Zr (0.503, 0.497, 0.000)
Zr (0.503, 0.005, 0.000)
Zr (0.339, 0.169, 0.500)
U (0.333, 0.667, 0.500)
Zr (0.831, 0.661, 0.500)
Zr (0.995, 0.497, 0.000)
U (0.000, 0.000, 0.000)



No. 22
Material: LiThPt
Method: DFT, PBE
State: optimized geometry

## Properties
Total magnetization ... 0.243 μB/cell
Calculated total energy ... -0.2104 Ha/atom
Space group ... F-43m (216)
Energy above the most stable polymorph in this dataset ... 225 meV per atom

Unit cell a=4.720 b=4.720 c=4.720 alpha=60.00 beta=60.00 gamma=60.00
Atoms (fractional coordinates):
Pt (0.000, 0.000, 0.000)
Li (0.250, 0.250, 0.250)
Th (0.750, 0.750, 0.750)